a:
Compound: Li2BeHg
Source: Alexandria via LeMat-Bulk
Functional: PBE-GGA
Structure: relaxed

Spin magnetization   0.000 μB per atom

Structure (extended XYZ):
```
4
Lattice="-6.687 -0.802 0.586 2.461 -2.690 0.771 -2.262 -1.094 3.425" Properties=species:S:1:pos:R:3 pbc="T T T"
Hg -2.113 -1.746 0.678
Be 0.100 -1.892 2.098
Li -4.474 -0.948 2.006
Li 0.000 0.000 0.000
```

---

b:
Compound: Li2BeHg
Source: Alexandria via LeMat-Bulk
Functional: PBE-GGA
Structure: relaxed

Spin magnetization   0.000 μB per atom

Structure (extended XYZ):
```
4
Lattice="4.294 -0.026 0.047 2.085 3.754 0.047 2.201 1.286 3.562" Properties=species:S:1:pos:R:3 pbc="T T T"
Hg 2.145 1.253 0.914
Li 6.435 3.761 2.743
Li 2.201 1.287 3.561
Be 4.290 2.507 1.829
```

---

c:
Compound: Li2BeHg
Source: Alexandria via LeMat-Bulk
Functional: PBE-GGA
Structure: relaxed

Spin magnetization   0.000 μB per atom

Structure (extended XYZ):
```
4
Lattice="0.000 3.072 3.072 3.072 0.000 3.072 3.072 3.072 0.000" Properties=species:S:1:pos:R:3 pbc="T T T"
Li 4.608 4.608 4.608
Li 1.536 1.536 1.536
Hg 3.072 3.072 3.072
Be 0.000 0.000 0.000
```

---

Comparing the structures above, b comes out on top by 8.0 kJ/mol of atoms.